[1]
A plane-wave DFT calculation with GGA-PBE was carried out for a relaxed BeCuAu2I crystal.

Values from the calculation:
- Symmetry: P4/mmm
- Energy relative to the elements, uncorrected: 7.09 eV per formula unit

Cell: 5.4105 5.4105 4.7201 Å, 90.00 90.00 90.00°
With the nearest neighbours (Å) after each atom.
Fractional coordinates of all 5 atoms:
Be  0.0000  0.0000  0.0000  2 I 2.36
Cu  0.5000  0.5000  0.0000  8 Au 3.59, 4 Be 3.83
Au  0.0000  0.5000  0.5000  2 I 2.71
Au  0.5000  0.0000  0.5000  2 I 2.71
I  0.0000  0.0000  0.5000  2 Be 2.36

***

[2]
A plane-wave DFT calculation with GGA-PBE was carried out for a relaxed AgTe2Rh crystal.

Values from the calculation:
- Symmetry: P2/m
- Energy relative to the elements, uncorrected: 0.02 eV per formula unit

Cell: 5.0146 3.8787 5.2537 Å, 90.00 109.65 90.00°
With the nearest neighbours (Å) after each atom.
Fractional coordinates of all 4 atoms:
Ag  0.0000  0.0000  0.0000  2 Rh 2.96, 4 Te 3.11
Te  0.2854  0.5000  0.7052  2 Rh 2.62
Te  0.7146  0.5000  0.2948  2 Rh 2.62
Rh  0.5000  0.0000  0.5000  4 Te 2.62

***

[3]
A plane-wave DFT calculation with GGA-PBE was carried out for a relaxed Al2BrCl crystal.

Values from the calculation:
- Symmetry: I-42d
- Energy relative to the elements, uncorrected: -0.61 eV per formula unit

Cell: 6.5359 6.5359 6.5359 Å, 105.73 105.73 117.25°
With the nearest neighbours (Å) after each atom.
Fractional coordinates of all 8 atoms:
Al  0.1124  0.6250  0.9874  2 Cl 2.85, 2 Br 2.99
Al  0.3750  0.3624  0.4874  2 Cl 2.85, 2 Br 2.99
Al  0.6376  0.1250  0.0126  2 Cl 2.85, 2 Br 2.99
Al  0.8750  0.8876  0.5126  2 Cl 2.85, 2 Br 2.99
Br  0.2500  0.7500  0.5000  4 Al 2.99
Br  0.5000  0.5000  0.0000  4 Al 2.99
Cl  0.0000  0.0000  0.0000  4 Al 2.85
Cl  0.7500  0.2500  0.5000  4 Al 2.85

***

[4]
A plane-wave DFT calculation with GGA-PBE was carried out for a relaxed RbLiPuO5 crystal.

Values from the calculation:
- Symmetry: C2/c
- Energy relative to the elements, uncorrected: -16.19 eV per formula unit

Cell: 6.2669 6.2669 8.1802 Å, 106.01 106.01 105.01°
With the nearest neighbours (Å) after each atom.
Fractional coordinates of all 16 atoms:
Rb  0.1682  0.8318  0.7500  7 O 2.74-2.99
Rb  0.8318  0.1682  0.2500  7 O 2.74-2.99
Li  0.1986  0.8014  0.2500  4 O 2.06-2.14
Li  0.8014  0.1986  0.7500  4 O 2.06-2.14
Pu  0.5000  0.5000  0.0000  6 O 1.91-2.12
Pu  0.5000  0.5000  0.5000  6 O 1.91-2.12
O  0.1735  0.2960  0.8989  1 Pu 1.91
O  0.2424  0.5993  0.4084  1 Pu 1.91, 1 Li 2.06
O  0.2960  0.1735  0.3989  1 Pu 1.91
O  0.4007  0.7576  0.0916  1 Pu 1.91, 1 Li 2.06
O  0.4439  0.5561  0.7500  2 Pu 2.12
O  0.5561  0.4439  0.2500  2 Pu 2.12
O  0.5993  0.2424  0.9084  1 Pu 1.91, 1 Li 2.06
O  0.7040  0.8265  0.6011  1 Pu 1.91
O  0.7576  0.4007  0.5916  1 Pu 1.91, 1 Li 2.06
O  0.8265  0.7040  0.1011  1 Pu 1.91

***

[5]
A plane-wave DFT calculation with GGA-PBE was carried out for a relaxed Pr2Th2Hg7 crystal.

Values from the calculation:
- Symmetry: Cmmm
- E_form: 0.0197 eV per atom

Cell: 7.1144 7.1144 7.1545 Å, 90.00 90.00 102.18°
With the nearest neighbours (Å) after each atom.
Fractional coordinates of all 11 atoms:
Pr  0.1926  0.1926  0.0000  6 Hg 3.13-3.18, 1 Pr 3.44
Pr  0.8074  0.8074  0.0000  6 Hg 3.13-3.18, 1 Pr 3.44
Th  0.2932  0.7068  0.5000  7 Hg 3.09-3.25
Th  0.7068  0.2932  0.5000  7 Hg 3.09-3.25
Hg  0.0000  0.0000  0.5000  2 Th 3.25
Hg  0.0000  0.5000  0.2073  1 Hg 2.97, 2 Th 3.10, 2 Pr 3.18
Hg  0.0000  0.5000  0.7927  1 Hg 2.97, 2 Th 3.10, 2 Pr 3.18
Hg  0.5000  0.0000  0.2073  1 Hg 2.97, 2 Th 3.10, 2 Pr 3.18
Hg  0.5000  0.0000  0.7927  1 Hg 2.97, 2 Th 3.10, 2 Pr 3.18
Hg  0.5000  0.5000  0.2105  1 Hg 3.01, 2 Th 3.09, 2 Pr 3.13
Hg  0.5000  0.5000  0.7895  1 Hg 3.01, 2 Th 3.09, 2 Pr 3.13

***

[6]
A plane-wave DFT calculation with GGA-PBE was carried out for a relaxed Rb3TiF8 crystal.

Values from the calculation:
- Symmetry: I4/mmm
- Energy relative to the elements, uncorrected: -32.67 eV per formula unit

Cell: 7.3562 7.3562 7.3562 Å, 130.80 130.80 72.13°
With the nearest neighbours (Å) after each atom.
Fractional coordinates of all 12 atoms:
Rb  0.0000  0.0000  0.0000  8 F 2.91
Rb  0.2500  0.7500  0.5000  8 F 2.86
Rb  0.7500  0.2500  0.5000  8 F 2.86
Ti  0.5000  0.5000  0.0000  8 F 2.04
F  0.2081  0.2081  0.6145  1 Ti 2.04
F  0.2081  0.5936  0.0000  1 Ti 2.04
F  0.4064  0.4064  0.6145  1 Ti 2.04
F  0.4064  0.7919  0.0000  1 Ti 2.04
F  0.5936  0.2081  0.0000  1 Ti 2.04
F  0.5936  0.5936  0.3855  1 Ti 2.04
F  0.7919  0.4064  0.0000  1 Ti 2.04
F  0.7919  0.7919  0.3855  1 Ti 2.04

***

Total DFT energy (no corrections) values, unit eV/atom, following the record order: -1.767, -4.118, -2.904, -7.275, -2.390, -4.870.